Material: MoPt2O
Method: DFT, GGA+U
State: optimized geometry

Computed properties:
**Symmetry**: I-42d, No. 122
**Theoretical density**: 13.67 g/cm³
**VASP energy**: -5.6968 eV/atom

abc: 5.570 5.570 5.570
angles: 100.96 100.96 128.30
Fractional positions:
Mo  0.000  0.000  0.000
Mo  0.750  0.250  0.500
Pt  0.174  0.625  0.049
Pt  0.375  0.424  0.549
Pt  0.576  0.125  0.951
Pt  0.875  0.826  0.451
O  0.250  0.750  0.500
O  0.500  0.500  0.000